# Ta2CoPt

A relaxed structure of Ta2CoPt (PBEsol, the Alexandria database).

Calculated values
DFT total energy	-10.3180	eV per atom
formation energy from the elements	-35.4	kJ per mole of atoms

Unit cell a=3.202 b=3.202 c=5.908 alpha=90.00 beta=90.00 gamma=90.00
Sites, in units of the cell vectors:
Pt1 0.500 0.500 0.745
Ta1 0.000 0.000 0.985
Ta2 0.500 0.500 0.288
Co1 0.000 0.000 0.482

***

# GaBi3S

A relaxed structure of GaBi3S (PBEsol, the Alexandria database).

Calculated values
formation energy without anion corrections	0.721	eV/atom
DFT total energy	-3.3947	eV per atom

Unit cell a=5.338 b=5.338 c=5.338 alpha=90.00 beta=90.00 gamma=90.00
Sites, in units of the cell vectors:
Bi1 0.000 0.500 0.000
Bi2 0.500 0.000 0.000
Bi3 0.000 0.000 0.500
S1 0.500 0.500 0.500
Ga1 0.000 0.000 0.000

***

# RbCdAuS2

A relaxed structure of RbCdAuS2 (PBEsol, the Alexandria database).

Calculated values
formation energy without anion corrections	-0.685	eV/atom
DFT total energy	-3.6676	eV per atom

Unit cell a=5.612 b=6.913 c=13.647 alpha=90.00 beta=90.00 gamma=90.00
Sites, in units of the cell vectors:
Rb1 0.714 0.250 0.500
Rb2 0.286 0.250 0.000
Rb3 0.286 0.750 0.500
Rb4 0.714 0.750 0.000
S1 0.799 0.150 0.135
S2 0.201 0.150 0.365
S3 0.201 0.650 0.135
S4 0.799 0.350 0.865
S5 0.201 0.850 0.865
S6 0.201 0.350 0.635
S7 0.799 0.650 0.365
S8 0.799 0.850 0.635
Au1 0.500 0.146 0.250
Au2 0.500 0.354 0.750
Au3 0.500 0.646 0.250
Au4 0.500 0.854 0.750
Cd1 0.000 0.401 0.250
Cd2 0.000 0.901 0.250
Cd3 0.000 0.599 0.750
Cd4 0.000 0.099 0.750

***

# BaHgAu2

A relaxed structure of BaHgAu2 (PBEsol, the Alexandria database).

Calculated values
DFT total energy	-3.1133	eV per atom
formation energy from the elements	-45.6	kJ per mole of atoms

Unit cell a=4.757 b=4.767 c=6.069 alpha=112.99 beta=90.00 gamma=119.94
Sites, in units of the cell vectors:
Hg1 0.714 0.429 0.144
Au1 0.981 0.963 0.944
Au2 0.297 0.593 0.890
Ba1 0.508 0.015 0.523

***

# BaCoAu2

A relaxed structure of BaCoAu2 (PBEsol, the Alexandria database).

Calculated values
DFT total energy	-4.3324	eV per atom
formation energy from the elements	9.8	kJ per mole of atoms
energy above the most stable polymorph in this dataset	247	meV/atom

Unit cell a=4.196 b=4.822 c=4.824 alpha=112.64 beta=90.00 gamma=90.00
Sites, in units of the cell vectors:
Co1 0.500 0.500 0.000
Ba1 0.500 0.000 0.500
Au1 0.000 0.326 0.175
Au2 0.000 0.674 0.825

***

# Ca2AlRe

A relaxed structure of Ca2AlRe (PBEsol, the Alexandria database).

Calculated values
DFT total energy	-4.9599	eV per atom
formation energy from the elements	44.6	kJ per mole of atoms

Unit cell a=4.826 b=4.826 c=4.826 alpha=60.00 beta=60.00 gamma=60.00
Sites, in units of the cell vectors:
Re1 0.250 0.250 0.250
Ca1 0.000 0.000 0.000
Ca2 0.750 0.750 0.750
Al1 0.500 0.500 0.500

***

# Zr2Ir

A relaxed structure of Zr2Ir (PBEsol, the Alexandria database).

Calculated values
DFT total energy	-9.9469	eV per atom
formation energy from the elements	-59.1	kJ per mole of atoms

Unit cell a=8.738 b=8.738 c=8.738 alpha=60.00 beta=60.00 gamma=60.00
Sites, in units of the cell vectors:
Zr1 0.062 0.062 0.438
Zr2 0.438 0.062 0.062
Zr3 0.625 0.625 0.625
Zr4 0.062 0.438 0.438
Zr5 0.812 0.188 0.188
Zr6 0.438 0.438 0.062
Zr7 0.625 0.125 0.625
Zr8 0.125 0.625 0.625
Zr9 0.438 0.062 0.438
Zr10 0.812 0.812 0.188
Zr11 0.188 0.812 0.188
Zr12 0.812 0.188 0.812
Zr13 0.188 0.812 0.812
Zr14 0.062 0.438 0.062
Zr15 0.188 0.188 0.812
Zr16 0.625 0.625 0.125
Ir1 0.403 0.403 0.403
Ir2 0.459 0.847 0.847
Ir3 0.847 0.847 0.847
Ir4 0.403 0.403 0.791
Ir5 0.791 0.403 0.403
Ir6 0.403 0.791 0.403
Ir7 0.847 0.847 0.459
Ir8 0.847 0.459 0.847

***

# Hf3Ni4Ge4

A relaxed structure of Hf3Ni4Ge4 (PBEsol, the Alexandria database).

Calculated values
DFT total energy	-7.6400	eV per atom
formation energy from the elements	-71.4	kJ per mole of atoms

Unit cell a=3.866 b=6.433 c=7.400 alpha=115.76 beta=105.14 gamma=90.00
Sites, in units of the cell vectors:
Ge1 0.713 0.713 0.426
Ge2 0.000 0.200 0.000
Ge3 0.287 0.287 0.574
Ge4 0.000 0.800 0.000
Hf1 0.500 0.500 0.000
Hf2 0.372 0.872 0.744
Hf3 0.628 0.128 0.256
Ni1 0.177 0.877 0.354
Ni2 0.823 0.123 0.646
Ni3 0.823 0.523 0.646
Ni4 0.177 0.477 0.354

***

# ZrCdAu

A relaxed structure of ZrCdAu (PBEsol, the Alexandria database).

Calculated values
DFT total energy	-5.0710	eV per atom
formation energy from the elements	-32.2	kJ per mole of atoms

Unit cell a=3.164 b=3.164 c=6.209 alpha=104.76 beta=104.76 gamma=90.00
Sites, in units of the cell vectors:
Zr1 0.658 0.658 0.316
Au1 0.001 0.001 0.001
Cd1 0.341 0.341 0.683

***

# TlMoP3

A relaxed structure of TlMoP3 (PBEsol, the Alexandria database).

Calculated values
DFT total energy	-6.0325	eV per atom
formation energy from the elements	31.1	kJ per mole of atoms
energy above the most stable polymorph in this dataset	0	meV/atom

Unit cell a=4.708 b=4.708 c=4.708 alpha=90.00 beta=90.00 gamma=90.00
Sites, in units of the cell vectors:
P1 0.000 0.500 0.000
P2 0.500 0.000 0.000
P3 0.000 0.000 0.500
Mo1 0.000 0.000 0.000
Tl1 0.500 0.500 0.500

***

# Ga2SiSe

A relaxed structure of Ga2SiSe (PBEsol, the Alexandria database).

Calculated values
formation energy without anion corrections	-0.232	eV/atom
DFT total energy	-4.3006	eV per atom
energy above the most stable polymorph in this dataset	0	meV/atom

Unit cell a=5.658 b=5.658 c=6.983 alpha=113.90 beta=113.90 gamma=90.00
Sites, in units of the cell vectors:
Ga1 0.850 0.375 0.250
Ga2 0.625 0.600 0.750
Ga3 0.400 0.875 0.250
Ga4 0.125 0.150 0.750
Se1 0.000 0.000 0.000
Se2 0.250 0.750 0.500
Si1 0.750 0.250 0.500
Si2 0.500 0.500 0.000

***

# Zr2AgSb

A relaxed structure of Zr2AgSb (PBEsol, the Alexandria database).

Calculated values
formation energy without anion corrections	-0.298	eV/atom
DFT total energy	-6.8105	eV per atom

Unit cell a=3.153 b=4.994 c=5.192 alpha=90.00 beta=94.85 gamma=90.00
Sites, in units of the cell vectors:
Ag1 0.397 0.000 0.437
Zr1 0.931 0.000 0.941
Zr2 0.807 0.500 0.315
Sb1 0.365 0.500 0.807

***

# Zn2PSe

A relaxed structure of Zn2PSe (PBEsol, the Alexandria database).

Calculated values
formation energy without anion corrections	0.381	eV/atom
DFT total energy	-2.8201	eV per atom

Unit cell a=4.528 b=4.528 c=4.528 alpha=60.00 beta=60.00 gamma=60.00
Sites, in units of the cell vectors:
P1 0.500 0.500 0.500
Se1 0.250 0.250 0.250
Zn1 0.000 0.000 0.000
Zn2 0.750 0.750 0.750

***

# NbHCl2

A relaxed structure of NbHCl2 (PBEsol, the Alexandria database).

Calculated values
DFT total energy	-4.4119	eV per atom

Unit cell a=3.120 b=3.120 c=7.448 alpha=77.91 beta=77.91 gamma=60.00
Sites, in units of the cell vectors:
Cl1 0.893 0.893 0.321
Cl2 0.107 0.107 0.679
H1 0.500 0.500 0.500
Nb1 0.000 0.000 0.000

***

# CuRe2Pb

A relaxed structure of CuRe2Pb (PBEsol, the Alexandria database).

Calculated values
DFT total energy	-7.7800	eV per atom
formation energy from the elements	93.5	kJ per mole of atoms
energy above the most stable polymorph in this dataset	145	meV/atom

Unit cell a=3.800 b=3.800 c=4.441 alpha=90.00 beta=90.00 gamma=90.00
Sites, in units of the cell vectors:
Pb1 0.000 0.000 0.500
Re1 0.000 0.500 0.000
Re2 0.500 0.000 0.000
Cu1 0.500 0.500 0.500

***

# Ho2WO6

A relaxed structure of Ho2WO6 (PBEsol, the Alexandria database).

Calculated values
formation energy without anion corrections	-3.088	eV/atom
DFT total energy	-9.2213	eV per atom
energy above the most stable polymorph in this dataset	24	meV/atom

Unit cell a=5.311 b=9.527 c=9.527 alpha=69.56 beta=77.58 gamma=77.58
Sites, in units of the cell vectors:
W1 0.417 0.183 0.502
W2 0.917 0.502 0.183
W3 0.083 0.498 0.817
W4 0.583 0.817 0.498
O1 0.723 0.037 0.471
O2 0.907 0.816 0.377
O3 0.860 0.307 0.223
O4 0.579 0.150 0.683
O5 0.140 0.693 0.777
O6 0.421 0.850 0.317
O7 0.031 0.538 0.621
O8 0.777 0.529 0.963
O9 0.469 0.379 0.462
O10 0.420 0.104 0.078
O11 0.640 0.777 0.693
O12 0.223 0.471 0.037
O13 0.360 0.223 0.307
O14 0.079 0.683 0.150
O15 0.580 0.896 0.922
O16 0.080 0.922 0.896
O17 0.277 0.963 0.529
O18 0.593 0.623 0.184
O19 0.531 0.621 0.538
O20 0.407 0.377 0.816
O21 0.920 0.078 0.104
O22 0.093 0.184 0.623
O23 0.969 0.462 0.379
O24 0.921 0.317 0.850
Ho1 0.886 0.940 0.715
Ho2 0.614 0.285 0.060
Ho3 0.750 0.376 0.624
Ho4 0.386 0.715 0.940
Ho5 0.750 0.891 0.109
Ho6 0.114 0.060 0.285
Ho7 0.250 0.109 0.891
Ho8 0.250 0.624 0.376

***

# Eu2CuH4S2O12

A relaxed structure of Eu2CuH4S2O12 (PBEsol, the Alexandria database).

Calculated values
DFT total energy	-6.9432	eV per atom

Unit cell a=6.364 b=6.833 c=10.718 alpha=90.00 beta=98.18 gamma=90.00
Sites, in units of the cell vectors:
O1 0.444 0.935 0.824
O2 0.595 0.854 0.434
O3 0.786 0.542 0.455
O4 0.405 0.146 0.566
O5 0.556 0.435 0.676
O6 0.906 0.178 0.373
O7 0.556 0.065 0.176
O8 0.133 0.642 0.883
O9 0.906 0.322 0.873
O10 0.786 0.958 0.955
O11 0.758 0.709 0.261
O12 0.405 0.354 0.066
O13 0.242 0.291 0.739
O14 0.094 0.822 0.627
O15 0.758 0.791 0.761
O16 0.867 0.358 0.117
O17 0.214 0.042 0.045
O18 0.094 0.678 0.127
O19 0.444 0.565 0.324
O20 0.242 0.209 0.239
O21 0.867 0.142 0.617
O22 0.595 0.646 0.934
O23 0.133 0.858 0.383
O24 0.214 0.458 0.545
H1 0.232 0.778 0.607
H2 0.714 0.107 0.599
H3 0.768 0.222 0.393
H4 0.768 0.278 0.893
H5 0.286 0.893 0.401
H6 0.286 0.607 0.901
H7 0.714 0.393 0.099
H8 0.232 0.722 0.107
S1 0.638 0.826 0.870
S2 0.362 0.174 0.130
S3 0.362 0.326 0.630
S4 0.638 0.674 0.370
Eu1 0.079 0.002 0.822
Eu2 0.079 0.498 0.322
Eu3 0.921 0.502 0.678
Eu4 0.921 0.998 0.178
Cu1 0.000 0.500 0.000
Cu2 0.000 0.000 0.500

***

# AsSe2

A relaxed structure of AsSe2 (PBEsol, the Alexandria database).

Calculated values
formation energy without anion corrections	0.261	eV/atom
DFT total energy	-4.0084	eV per atom

Unit cell a=2.759 b=5.049 c=5.049 alpha=120.00 beta=90.00 gamma=90.00
Sites, in units of the cell vectors:
Se1 0.000 0.667 0.333
Se2 0.000 0.333 0.667
As1 0.000 0.000 0.000

***

# Mg2HgBi2

A relaxed structure of Mg2HgBi2 (PBEsol, the Alexandria database).

Calculated values
DFT total energy	-2.5575	eV per atom
formation energy from the elements	-4.2	kJ per mole of atoms

Unit cell a=5.238 b=5.238 c=6.679 alpha=113.08 beta=113.08 gamma=90.00
Sites, in units of the cell vectors:
Bi1 0.632 0.632 0.263
Bi2 0.368 0.368 0.737
Mg1 0.250 0.750 0.500
Mg2 0.750 0.250 0.500
Hg1 0.000 0.000 0.000

***

# NiCl2

A relaxed structure of NiCl2 (PBEsol, the Alexandria database).

Calculated values
formation energy without anion corrections	-0.580	eV/atom
DFT total energy	-3.9710	eV per atom

Unit cell a=3.411 b=3.411 c=6.199 alpha=74.03 beta=74.03 gamma=60.00
Sites, in units of the cell vectors:
Ni1 0.000 0.000 0.000
Cl1 0.260 0.260 0.219
Cl2 0.740 0.740 0.781